[1]
This record from OQMD via LeMat-Bulk describes a geometry-optimized Cu17Sb structure. The functional is GGA-PBE.

Output
Energy (eV per formula unit): -66.41

a b c (Å): 5.0762 5.0762 29.8126
angles (deg): 90.00 90.00 120.00
Space group P-3m1 (No. 164)
Symmetry-distinct sites (fractional):
Cu 0.0000 0.0000 0.0000 [1 per cell]
Cu 0.0000 0.0000 0.2085 [2 per cell]
Cu 0.0000 0.5000 0.0000 [3 per cell]
Cu 0.0035 0.5018 0.2099 [6 per cell]
Cu 0.1667 0.3334 0.7214 [6 per cell]
Cu 0.1672 0.3344 0.1395 [6 per cell]
Cu 0.1669 0.3339 0.9301 [6 per cell]
Cu 0.3333 0.6667 0.0695 [2 per cell]
Cu 0.3333 0.6667 0.8597 [2 per cell]
Sb 0.3333 0.6667 0.3066 [2 per cell]

[2]
This record from OQMD via LeMat-Bulk describes a geometry-optimized Cu9Sb structure. The functional is GGA-PBE.

Output
Energy (eV per formula unit): -36.45

a b c (Å): 2.731 2.731 44.523
angles (deg): 90.00 90.00 90.00
Space group P4/nmm (No. 129, origin choice 2)
Symmetry-distinct sites (fractional):
Cu 0.250 0.250 0.018 [2 per cell]
Cu 0.250 0.250 0.090 [2 per cell]
Cu 0.250 0.250 0.162 [2 per cell]
Cu 0.250 0.250 0.234 [2 per cell]
Cu 0.250 0.250 0.307 [2 per cell]
Cu 0.250 0.250 0.730 [2 per cell]
Cu 0.250 0.250 0.802 [2 per cell]
Cu 0.250 0.250 0.874 [2 per cell]
Cu 0.250 0.250 0.946 [2 per cell]
Sb 0.250 0.250 0.643 [2 per cell]

[3]
This record from OQMD via LeMat-Bulk describes a geometry-optimized CuSb2 structure. The functional is GGA-PBE.

Output
Energy (eV per formula unit): -9.01

a b c (Å): 11.202 11.202 11.202
angles (deg): 90.00 90.00 90.00
Space group Fd-3m (No. 227, origin choice 2)
Symmetry-distinct sites (fractional):
Cu 0.125 0.125 0.125 [8 per cell]
Sb 0.000 0.000 0.000 [16 per cell]

[4]
This record from OQMD via LeMat-Bulk describes a geometry-optimized Cu9Sb structure. The functional is GGA-PBE.

Output
Energy (eV per formula unit): -36.84

a b c (Å): 2.705 3.468 38.910
angles (deg): 90.00 90.00 90.00
Space group Pmmn (No. 59, origin choice 2)
Symmetry-distinct sites (fractional):
Cu 0.250 0.250 0.016 [2 per cell]
Cu 0.250 0.250 0.081 [2 per cell]
Cu 0.250 0.250 0.146 [2 per cell]
Cu 0.250 0.250 0.212 [2 per cell]
Cu 0.250 0.250 0.278 [2 per cell]
Cu 0.250 0.250 0.755 [2 per cell]
Cu 0.250 0.250 0.821 [2 per cell]
Cu 0.250 0.250 0.887 [2 per cell]
Cu 0.250 0.250 0.952 [2 per cell]
Sb 0.250 0.250 0.677 [2 per cell]

[5]
This record from OQMD via LeMat-Bulk describes a geometry-optimized Cu7Sb2 structure. The functional is GGA-PBE.

Output
Energy (eV per formula unit): -31.35

a b c (Å): 4.976 2.881 20.550
angles (deg): 90.00 90.07 90.00
Space group C2/m (No. 12)
Symmetry-distinct sites (fractional):
Cu 0.000 0.000 0.000 [2 per cell]
Cu 0.001 0.000 0.275 [4 per cell]
Cu 0.166 0.500 0.817 [4 per cell]
Cu 0.167 0.500 0.091 [4 per cell]
Sb 0.167 0.500 0.386 [4 per cell]

[6]
This record from OQMD via LeMat-Bulk describes a geometry-optimized ScTaCuSb structure. The functional is GGA-PBE.

Output
Energy (eV per formula unit): -24.81
Total moment (μB/cell): 2.94

a b c (Å): 6.683 6.683 6.683
angles (deg): 90.00 90.00 90.00
Space group F-43m (No. 216)
Symmetry-distinct sites (fractional):
Sc 0.000 0.000 0.000 [4 per cell]
Ta 0.250 0.250 0.250 [4 per cell]
Cu 0.250 0.250 0.750 [4 per cell]
Sb 0.000 0.000 0.500 [4 per cell]

[7]
This record from OQMD via LeMat-Bulk describes a geometry-optimized ScCuTcSb structure. The functional is GGA-PBE.

Output
Energy (eV per formula unit): -24.97
Total moment (μB/cell): 0.04

a b c (Å): 6.445 6.445 6.445
angles (deg): 90.00 90.00 90.00
Space group F-43m (No. 216)
Symmetry-distinct sites (fractional):
Sc 0.000 0.000 0.000 [4 per cell]
Cu 0.250 0.250 0.750 [4 per cell]
Tc 0.250 0.250 0.250 [4 per cell]
Sb 0.000 0.000 0.500 [4 per cell]

[8]
This record from OQMD via LeMat-Bulk describes a geometry-optimized Cu3SbSe3 structure. The functional is GGA-PBE.

Output
Energy (eV per formula unit): -26.71

a b c (Å): 8.037 10.592 6.887
angles (deg): 90.00 90.00 90.00
Space group Pnma (No. 62)
Symmetry-distinct sites (fractional):
Cu 0.098 0.046 0.248 [8 per cell]
Cu 0.190 0.250 0.068 [4 per cell]
Sb 0.246 0.250 0.610 [4 per cell]
Se 0.002 0.750 0.639 [4 per cell]
Se 0.157 0.062 0.849 [8 per cell]

[9]
This record from OQMD via LeMat-Bulk describes a geometry-optimized Cu12Sb4Te12Se structure. The functional is GGA-PBE.

Output
Energy (eV per formula unit): -102.93

a b c (Å): 11.473 11.473 11.473
angles (deg): 90.00 90.00 90.00
Space group I-43m (No. 217)
Symmetry-distinct sites (fractional):
Cu 0.000 0.000 0.211 [12 per cell]
Cu 0.000 0.250 0.500 [12 per cell]
Sb 0.219 0.219 0.219 [8 per cell]
Te 0.115 0.115 0.637 [24 per cell]
Se 0.000 0.000 0.000 [2 per cell]

[10]
This record from OQMD via LeMat-Bulk describes a geometry-optimized Cu2SiSb structure. The functional is GGA-PBE.

Output
Energy (eV per formula unit): -15.78

a b c (Å): 6.418 6.418 6.418
angles (deg): 90.00 90.00 90.00
Space group Pm-3m (No. 221)
Symmetry-distinct sites (fractional):
Cu 0.216 0.216 0.216 [8 per cell]
Si 0.000 0.000 0.000 [1 per cell]
Si 0.000 0.000 0.500 [3 per cell]
Sb 0.000 0.500 0.500 [3 per cell]
Sb 0.500 0.500 0.500 [1 per cell]

[11]
This record from OQMD via LeMat-Bulk describes a geometry-optimized Cu2SiSb structure. The functional is GGA-PBE.

Output
Energy (eV per formula unit): -15.79

a b c (Å): 6.421 6.421 6.421
angles (deg): 90.00 90.00 90.00
Space group Pm-3m (No. 221)
Symmetry-distinct sites (fractional):
Cu 0.216 0.216 0.216 [8 per cell]
Si 0.000 0.000 0.000 [1 per cell]
Si 0.000 0.000 0.500 [3 per cell]
Sb 0.000 0.500 0.500 [3 per cell]
Sb 0.500 0.500 0.500 [1 per cell]

[12]
This record from OQMD via LeMat-Bulk describes a geometry-optimized SmCuSb2 structure. The functional is GGA-PBE.

Output
Energy (eV per formula unit): -19.32
Total moment (μB/cell): 0.00

a b c (Å): 4.345 4.345 10.015
angles (deg): 90.00 90.00 90.00
Space group P4/nmm (No. 129, origin choice 2)
Symmetry-distinct sites (fractional):
Sm 0.250 0.250 0.250 [2 per cell]
Cu 0.250 0.750 0.000 [2 per cell]
Sb 0.250 0.250 0.843 [2 per cell]
Sb 0.250 0.750 0.500 [2 per cell]

[13]
This record from OQMD via LeMat-Bulk describes a geometry-optimized Sm2CuSb4 structure. The functional is GGA-PBE.

Output
Energy (eV per formula unit): -34.69
Total moment (μB/cell): 0.00

a b c (Å): 4.386 4.386 9.544
angles (deg): 90.00 90.00 90.00
Space group P-4m2 (No. 115)
Symmetry-distinct sites (fractional):
Sm 0.000 0.500 0.238 [2 per cell]
Cu 0.500 0.500 0.000 [1 per cell]
Sb 0.000 0.000 0.500 [1 per cell]
Sb 0.000 0.500 0.859 [2 per cell]
Sb 0.500 0.500 0.500 [1 per cell]

[14]
This record from OQMD via LeMat-Bulk describes a geometry-optimized Sm3Cu3Sb4 structure. The functional is GGA-PBE.

Output
Energy (eV per formula unit): -49.42
Total moment (μB/cell): 0.00

a b c (Å): 9.684 9.684 9.684
angles (deg): 90.00 90.00 90.00
Space group I-43d (No. 220)
Symmetry-distinct sites (fractional):
Sm 0.000 0.250 0.375 [12 per cell]
Cu 0.000 0.250 0.875 [12 per cell]
Sb 0.080 0.080 0.080 [16 per cell]

[15]
This record from OQMD via LeMat-Bulk describes a geometry-optimized Sm2CuSb structure. The functional is GGA-PBE.

Output
Energy (eV per formula unit): -19.26
Total moment (μB/cell): 0.47

a b c (Å): 13.972 4.363 7.570
angles (deg): 90.00 100.33 90.00
Space group C2/m (No. 12)
Symmetry-distinct sites (fractional):
Sm 0.116 0.000 0.373 [4 per cell]
Sm 0.117 0.500 0.871 [4 per cell]
Cu 0.000 0.000 0.000 [2 per cell]
Cu 0.000 0.500 0.500 [2 per cell]
Sb 0.249 0.500 0.250 [4 per cell]

[16]
This record from OQMD via LeMat-Bulk describes a geometry-optimized SmCu2SnSb structure. The functional is GGA-PBE.

Output
Energy (eV per formula unit): -22.46
Total moment (μB/cell): 0.00

a b c (Å): 4.390 4.390 10.874
angles (deg): 90.00 90.00 90.00
Space group P4/nmm (No. 129, origin choice 2)
Symmetry-distinct sites (fractional):
Sm 0.250 0.250 0.248 [2 per cell]
Cu 0.250 0.250 0.638 [2 per cell]
Cu 0.250 0.750 0.000 [2 per cell]
Sn 0.250 0.750 0.500 [2 per cell]
Sb 0.250 0.250 0.866 [2 per cell]

[17]
This record from OQMD via LeMat-Bulk describes a geometry-optimized Cu2SnSb structure. The functional is GGA-PBE.

Output
Energy (eV per formula unit): -14.59

a b c (Å): 6.725 6.725 6.725
angles (deg): 90.00 90.00 90.00
Space group Pm-3m (No. 221)
Symmetry-distinct sites (fractional):
Cu 0.250 0.250 0.250 [8 per cell]
Sn 0.000 0.000 0.000 [1 per cell]
Sn 0.000 0.000 0.500 [3 per cell]
Sb 0.000 0.500 0.500 [3 per cell]
Sb 0.500 0.500 0.500 [1 per cell]

[18]
This record from OQMD via LeMat-Bulk describes a geometry-optimized Cu2SnSb structure. The functional is GGA-PBE.

Output
Energy (eV per formula unit): -14.58

a b c (Å): 6.725 6.725 6.725
angles (deg): 90.00 90.00 90.00
Space group Pm-3m (No. 221)
Symmetry-distinct sites (fractional):
Cu 0.249 0.249 0.249 [8 per cell]
Sn 0.000 0.000 0.000 [1 per cell]
Sn 0.000 0.000 0.500 [3 per cell]
Sb 0.000 0.500 0.500 [3 per cell]
Sb 0.500 0.500 0.500 [1 per cell]